An optimized crystal structure of Pu5PaRh5, computed with PBE-GGA.

## Properties
Formation energy from the elements: -0.363 eV per atom
Calculated total energy: -121.90 eV/cell
Total moment: 26.77 μB/cell

abc: 6.9199 6.9199 7.7499
angles: 105.76 105.76 47.59
Last column: nearest neighbours and their distance in Å.
Sites, in units of the cell vectors:
1 Pu 0.0000 0.0000 0.0000  4 Rh 2.70-2.74
2 Pu 0.3308 0.3308 0.6648  5 Rh 2.80-2.89
3 Pu 0.3392 0.3392 0.1632  5 Rh 2.79-2.94
4 Pu 0.6608 0.6608 0.8368  5 Rh 2.79-2.94
5 Pu 0.6692 0.6692 0.3352  5 Rh 2.80-2.89
6 Pa 0.0000 0.0000 0.5000  6 Rh 2.71-2.79
7 Rh 0.1565 0.1565 0.3250  5 Pu 2.70-2.94, 1 Pa 2.71
8 Rh 0.1634 0.1634 0.8341  5 Pu 2.74-2.84, 1 Pa 2.79
9 Rh 0.5000 0.5000 0.5000  2 Pa 2.79, 4 Pu 2.79-2.80
10 Rh 0.8366 0.8366 0.1659  5 Pu 2.74-2.84, 1 Pa 2.79
11 Rh 0.8435 0.8435 0.6750  5 Pu 2.70-2.94, 1 Pa 2.71